VASP calculation (GGA+U) on a geometry-optimized Sr3Fe2MoO9 structure.

Cell lengths 9.7512, 9.7512, 5.6132 Å; angles 106.63, 106.63, 48.72 degrees
Closest atoms and distances in Å follow each position.
Positions (direct):
Sr: 0.0812 0.6000 0.3433  8 O 2.55-2.85
Sr: 0.2324 0.7676 0.0000  8 O 2.59-2.87
Sr: 0.4000 0.9188 0.6567  8 O 2.55-2.85
Sr: 0.6000 0.0812 0.3433  8 O 2.55-2.85
Sr: 0.7676 0.2324 0.0000  8 O 2.59-2.87
Sr: 0.9188 0.4000 0.6567  8 O 2.55-2.85
Fe: 0.0000 0.0000 0.5000  6 O 2.02-2.06
Fe: 0.1654 0.1654 0.1651  6 O 1.94-2.09
Fe: 0.5000 0.5000 0.5000  6 O 1.96-2.09
Fe: 0.8346 0.8346 0.8349  6 O 1.94-2.09
Mo: 0.3328 0.3328 0.8348  6 O 1.94-1.95
Mo: 0.6672 0.6672 0.1652  6 O 1.94-1.95
O: 0.0760 0.0760 0.2975  2 Fe 1.95-2.02
O: 0.0878 0.5723 0.8300  1 Mo 1.95, 1 Fe 2.08
O: 0.0960 0.0960 0.8196  2 Fe 1.94-2.05
O: 0.2402 0.2402 0.5354  1 Mo 1.95, 1 Fe 2.09
O: 0.2566 0.7434 0.5000  2 Fe 1.96-2.06
O: 0.2668 0.2668 0.0531  1 Mo 1.94, 1 Fe 2.09
O: 0.4002 0.4002 0.6194  1 Mo 1.95, 1 Fe 2.08
O: 0.4270 0.4270 0.1255  1 Mo 1.94, 1 Fe 2.09
O: 0.4277 0.9122 0.1700  1 Mo 1.95, 1 Fe 2.08
O: 0.5723 0.0878 0.8300  1 Mo 1.95, 1 Fe 2.08
O: 0.5730 0.5730 0.8745  1 Mo 1.94, 1 Fe 2.09
O: 0.5998 0.5998 0.3806  1 Mo 1.95, 1 Fe 2.08
O: 0.7332 0.7332 0.9469  1 Mo 1.94, 1 Fe 2.09
O: 0.7434 0.2566 0.5000  2 Fe 1.96-2.06
O: 0.7598 0.7598 0.4646  1 Mo 1.95, 1 Fe 2.09
O: 0.9040 0.9040 0.1804  2 Fe 1.94-2.05
O: 0.9122 0.4277 0.1700  1 Mo 1.95, 1 Fe 2.08
O: 0.9240 0.9240 0.7025  2 Fe 1.95-2.02

## Properties
The crystal system is monoclinic. The total magnetization is 20.000 Bohr magnetons per cell. For the total energy, the calculation gives -6.724 eV/atom. As for the space group: No. 12.